Arrangement P

# CrIn2Pb2

A geometry-optimized CrIn2Pb2 structure (PBE, Alexandria via LeMat-Bulk).

Computed properties:
Volume = 28.1 A^3/atom
Space-group type = No. 127
Magnetic moment = 7.948 μB per cell

Cell: 7.524 7.524 4.972 Å, 90.00 90.00 90.00°
Site moments in Bohr magnetons follow the coordinates.
Positions (direct):
Pb 0.347 0.847 0.000  -0.03
Pb 0.847 0.653 0.000  -0.04
Pb 0.153 0.347 0.000  -0.04
Pb 0.653 0.153 0.000  -0.03
Cr 0.000 0.000 0.000  3.66
In 0.341 0.159 0.500  -0.01
In 0.841 0.341 0.500  0.00
In 0.659 0.841 0.500  -0.01
Cr 0.500 0.500 0.000  3.66
In 0.159 0.659 0.500  0.00

Arrangement Q

# CrIn2Pb2

A geometry-optimized CrIn2Pb2 structure (PBE, Alexandria via LeMat-Bulk).

Computed properties:
Volume = 27.6 A^3/atom
Space-group type = No. 139
Magnetic moment = 0.173 μB per cell

Cell: 3.928 3.928 9.371 Å, 77.90 77.90 90.00°
Site moments in Bohr magnetons follow the coordinates.
Positions (direct):
In 0.250 0.750 0.500  0.00
Pb 0.414 0.414 0.172  -0.01
Pb 0.586 0.586 0.828  -0.01
In 0.750 0.250 0.500  0.00
Cr 0.000 0.000 0.000  0.14

In terms of stability, arrangement P leads; the second structure lies 415 meV per atom higher.

Arrangement P

# CrIn2Pd

A geometry-optimized CrIn2Pd structure (PBE, Alexandria via LeMat-Bulk).

Computed properties:
Volume = 18.4 A^3/atom
Space-group type = No. 225
Magnetic moment = 3.821 μB per cell

Cell: 4.703 4.703 4.703 Å, 60.00 60.00 60.00°
Site moments in Bohr magnetons follow the coordinates.
Positions (direct):
Pd 0.500 0.500 0.500  0.07
In 0.750 0.750 0.750  -0.04
In 0.250 0.250 0.250  -0.04
Cr 0.000 0.000 0.000  3.54

Arrangement Q

# CrIn2Pd

A geometry-optimized CrIn2Pd structure (PBE, Alexandria via LeMat-Bulk).

Computed properties:
Volume = 20.9 A^3/atom
Space-group type = No. 122
Magnetic moment = 7.746 μB per cell

Cell: 7.570 7.570 6.095 Å, 51.61 51.61 90.00°
Site moments in Bohr magnetons follow the coordinates.
Positions (direct):
Pd 0.000 0.000 0.000  0.00
In 0.375 0.359 0.750  -0.05
In 0.641 0.125 0.250  -0.05
In 0.109 0.625 0.250  -0.05
Cr 0.250 0.750 0.500  3.62
Pd 0.750 0.250 0.500  0.00
In 0.875 0.891 0.750  -0.05
Cr 0.500 0.500 0.000  3.62

In terms of stability, arrangement P leads; the second structure lies 282 meV per atom higher.

Arrangement P

# CrIn2Pt2

A geometry-optimized CrIn2Pt2 structure (PBE, Alexandria via LeMat-Bulk).

Computed properties:
Volume = 18.2 A^3/atom
Space-group type = No. 127
Magnetic moment = 0.263 μB per cell

Cell: 7.904 7.904 2.907 Å, 90.00 90.00 90.00°
Site moments in Bohr magnetons follow the coordinates.
Positions (direct):
Pt 0.344 0.156 0.500  0.01
Pt 0.156 0.656 0.500  0.01
In 0.856 0.644 0.000  0.01
Pt 0.844 0.344 0.500  0.01
Cr 0.500 0.500 0.000  -0.14
In 0.144 0.356 0.000  0.01
In 0.644 0.144 0.000  0.01
Pt 0.656 0.844 0.500  0.01
In 0.356 0.856 0.000  0.01
Cr 0.000 0.000 0.000  -0.14

Arrangement Q

# CrIn2Pt2

A geometry-optimized CrIn2Pt2 structure (PBE, Alexandria via LeMat-Bulk).

Computed properties:
Volume = 19.0 A^3/atom
Space-group type = No. 127
Magnetic moment = 8.117 μB per cell

Cell: 7.128 7.128 3.738 Å, 90.00 90.00 90.00°
Site moments in Bohr magnetons follow the coordinates.
Positions (direct):
Pt 0.139 0.361 0.000  0.05
Cr 0.500 0.500 0.000  3.62
In 0.664 0.836 0.500  -0.02
Pt 0.361 0.861 0.000  0.04
Pt 0.639 0.139 0.000  0.04
In 0.836 0.336 0.500  -0.02
Pt 0.861 0.639 0.000  0.05
In 0.164 0.664 0.500  -0.02
In 0.336 0.164 0.500  -0.02
Cr 0.000 0.000 0.000  3.62

In terms of stability, arrangement Q leads; the second structure lies 406 meV per atom higher.

Arrangement P

# RbCr3In

A geometry-optimized RbCr3In structure (PBE, Alexandria via LeMat-Bulk).

Computed properties:
Volume = 31.8 A^3/atom
Space-group type = No. 221
Magnetic moment = 13.983 μB per cell

Cell: 5.419 5.419 5.419 Å, 90.00 90.00 90.00°
Site moments in Bohr magnetons follow the coordinates.
Positions (direct):
Rb 0.500 0.500 0.500  0.05
Cr 0.000 0.000 0.500  4.10
Cr 0.000 0.500 0.000  4.06
In 0.000 0.000 0.000  -0.12
Cr 0.500 0.000 0.000  3.87

Arrangement Q

# RbCr3In

A geometry-optimized RbCr3In structure (PBE, Alexandria via LeMat-Bulk).

Computed properties:
Volume = 38.8 A^3/atom
Space-group type = No. 221
Magnetic moment = 15.817 μB per cell

Cell: 5.790 5.790 5.790 Å, 90.00 90.00 90.00°
Site moments in Bohr magnetons follow the coordinates.
Positions (direct):
In 0.500 0.500 0.500  0.00
Cr 0.500 0.000 0.000  4.41
Rb 0.000 0.000 0.000  0.19
Cr 0.000 0.500 0.000  4.32
Cr 0.000 0.000 0.500  4.29

In terms of stability, arrangement P leads; the second structure lies 1017 meV per atom higher.

Arrangement P

# RbCrIn2

A geometry-optimized RbCrIn2 structure (PBE, Alexandria via LeMat-Bulk).

Computed properties:
Volume = 41.5 A^3/atom
Space-group type = No. 141
Magnetic moment = 8.188 μB per cell

Cell: 5.984 5.984 10.183 Å, 72.91 72.91 90.00°
Site moments in Bohr magnetons follow the coordinates.
Positions (direct):
Cr 0.500 0.500 0.000  3.78
Rb 0.000 0.000 0.000  0.00
Rb 0.750 0.250 0.500  0.00
In 0.875 0.625 0.750  -0.05
In 0.375 0.625 0.750  -0.03
In 0.375 0.625 0.250  -0.06
In 0.375 0.125 0.250  -0.06
Cr 0.250 0.750 0.500  3.77

Arrangement Q

# RbCrIn2

A geometry-optimized RbCrIn2 structure (PBE, Alexandria via LeMat-Bulk).

Computed properties:
Volume = 28.5 A^3/atom
Space-group type = No. 225
Magnetic moment = 4.441 μB per cell

Cell: 5.441 5.441 5.441 Å, 60.00 60.00 60.00°
Site moments in Bohr magnetons follow the coordinates.
Positions (direct):
Cr 0.000 0.000 0.000  3.94
Rb 0.500 0.500 0.500  0.00
In 0.250 0.250 0.250  -0.03
In 0.750 0.750 0.750  -0.03

In terms of stability, arrangement P leads; the second structure lies 50 meV per atom higher.

Arrangement P

# Cr3InRe

A geometry-optimized Cr3InRe structure (PBE, Alexandria via LeMat-Bulk).

Computed properties:
Volume = 20.8 A^3/atom
Space-group type = No. 221
Magnetic moment = 7.999 μB per cell

Cell: 4.701 4.701 4.701 Å, 90.00 90.00 90.00°
Site moments in Bohr magnetons follow the coordinates.
Positions (direct):
Cr 0.000 0.500 0.000  2.77
Re 0.000 0.000 0.000  -0.77
Cr 0.000 0.000 0.500  2.48
Cr 0.500 0.000 0.000  3.10
In 0.500 0.500 0.500  -0.10

Arrangement Q

# Cr3InRe

A geometry-optimized Cr3InRe structure (PBE, Alexandria via LeMat-Bulk).

Computed properties:
Volume = 18.6 A^3/atom
Space-group type = No. 221
Magnetic moment = 0.001 μB per cell

Cell: 4.529 4.529 4.529 Å, 90.00 90.00 90.00°
Positions (direct):
Cr 0.000 0.500 0.000
Cr 0.000 0.000 0.500
Cr 0.500 0.000 0.000
In 0.000 0.000 0.000
Re 0.500 0.500 0.500

In terms of stability, arrangement P leads; the second structure lies 1536 meV per atom higher.

Arrangement P

# CrInRe

A geometry-optimized CrInRe structure (PBE, Alexandria via LeMat-Bulk).

Computed properties:
Volume = 16.2 A^3/atom
Space-group type = No. 42
Magnetic moment = 0.000 μB per cell

Cell: 7.161 6.925 2.815 Å, 83.22 73.81 22.98°
Positions (direct):
In 0.338 0.338 0.662
Re 0.651 0.651 0.349
Cr 0.011 0.011 0.989

Arrangement Q

# CrInRe

A geometry-optimized CrInRe structure (PBE, Alexandria via LeMat-Bulk).

Computed properties:
Volume = 18.2 A^3/atom
Space-group type = No. 216
Magnetic moment = 1.710 μB per cell

Cell: 4.256 4.256 4.256 Å, 60.00 60.00 60.00°
Site moments in Bohr magnetons follow the coordinates.
Positions (direct):
Cr 0.750 0.750 0.750  2.02
Re 0.500 0.500 0.500  -0.58
In 0.000 0.000 0.000  0.08

In terms of stability, arrangement P leads; the second structure lies 215 meV per atom higher.

Arrangement P

# CrIn2Rh2

A geometry-optimized CrIn2Rh2 structure (PBE, Alexandria via LeMat-Bulk).

Computed properties:
Volume = 18.9 A^3/atom
Space-group type = No. 139
Magnetic moment = 0.069 μB per cell

Cell: 3.880 3.880 6.866 Å, 73.59 73.59 90.00°
Site moments in Bohr magnetons follow the coordinates.
Positions (direct):
Rh 0.598 0.598 0.805  0.03
In 0.750 0.250 0.500  0.00
Cr 0.000 0.000 0.000  -0.09
In 0.250 0.750 0.500  0.00
Rh 0.402 0.402 0.195  0.03

Arrangement Q

# CrIn2Rh2

A geometry-optimized CrIn2Rh2 structure (PBE, Alexandria via LeMat-Bulk).

Computed properties:
Volume = 17.3 A^3/atom
Space-group type = No. 127
Magnetic moment = 0.000 μB per cell

Cell: 6.443 6.443 4.178 Å, 90.00 90.00 90.00°
Positions (direct):
Rh 0.645 0.145 0.000
In 0.168 0.668 0.500
In 0.332 0.168 0.500
Cr 0.500 0.500 0.000
Rh 0.145 0.355 0.000
Rh 0.855 0.645 0.000
In 0.668 0.832 0.500
In 0.832 0.332 0.500
Rh 0.355 0.855 0.000
Cr 0.000 0.000 0.000

In terms of stability, arrangement Q leads; the second structure lies 612 meV per atom higher.

Arrangement P

# ScCr2InRh

A geometry-optimized ScCr2InRh structure (PBE, Alexandria via LeMat-Bulk).

Computed properties:
Volume = 23.7 A^3/atom
Space-group type = No. 123
Magnetic moment = 7.523 μB per cell

Cell: 4.949 4.830 4.949 Å, 90.00 90.00 90.00°
Site moments in Bohr magnetons follow the coordinates.
Positions (direct):
Sc 0.000 0.500 0.000  -0.12
Cr 0.500 0.000 0.000  3.63
Cr 0.000 0.000 0.500  3.42
In 0.500 0.500 0.500  -0.07
Rh 0.000 0.000 0.000  -0.02

Arrangement Q

# ScCr2InRh

A geometry-optimized ScCr2InRh structure (PBE, Alexandria via LeMat-Bulk).

Computed properties:
Volume = 18.5 A^3/atom
Space-group type = No. 123
Magnetic moment = 0.001 μB per cell

Cell: 4.215 5.194 4.215 Å, 90.00 90.00 90.00°
Positions (direct):
Rh 0.500 0.500 0.500
Cr 0.500 0.000 0.000
Cr 0.000 0.000 0.500
In 0.000 0.500 0.000
Sc 0.000 0.000 0.000

In terms of stability, arrangement P leads; the second structure lies 1154 meV per atom higher.

Arrangement P

# Cr2InRu

A geometry-optimized Cr2InRu structure (PBE, Alexandria via LeMat-Bulk).

Computed properties:
Volume = 14.8 A^3/atom
Space-group type = No. 99
Magnetic moment = 0.847 μB per cell

Cell: 3.060 3.060 6.302 Å, 90.00 90.00 90.00°
Site moments in Bohr magnetons follow the coordinates.
Positions (direct):
In 0.000 0.000 0.498  -0.01
Cr 0.500 0.500 0.206  1.86
Cr 0.000 0.000 0.019  -1.40
Ru 0.500 0.500 0.777  0.32

Arrangement Q

# Cr2InRu

A geometry-optimized Cr2InRu structure (PBE, Alexandria via LeMat-Bulk).

Computed properties:
Volume = 17.0 A^3/atom
Space-group type = No. 122
Magnetic moment = 8.242 μB per cell

Cell: 7.107 7.107 5.704 Å, 51.46 51.46 90.00°
Site moments in Bohr magnetons follow the coordinates.
Positions (direct):
Ru 0.250 0.750 0.500  -0.37
In 0.750 0.250 0.500  -0.04
Ru 0.500 0.500 0.000  -0.37
Cr 0.875 0.823 0.750  2.15
Cr 0.573 0.125 0.250  2.09
In 0.000 0.000 0.000  -0.03
Cr 0.375 0.427 0.750  2.11
Cr 0.177 0.625 0.250  2.14

Arrangement R

# Cr2InRu

A geometry-optimized Cr2InRu structure (PBE, Alexandria via LeMat-Bulk).

Computed properties:
Volume = 14.8 A^3/atom
Space-group type = No. 44
Magnetic moment = 0.279 μB per cell

Cell: 5.099 5.099 4.494 Å, 63.84 63.84 34.88°
Site moments in Bohr magnetons follow the coordinates.
Positions (direct):
In 0.495 0.495 0.504  0.01
Ru 0.267 0.267 0.233  -0.09
Cr 0.012 0.012 0.987  1.81
Cr 0.725 0.725 0.775  -1.99

In terms of stability, arrangement P leads; the second structure lies 48 meV per atom higher.

Arrangement P

# Cr2InRu

A geometry-optimized Cr2InRu structure (PBE, Alexandria via LeMat-Bulk).

Computed properties:
Volume = 15.5 A^3/atom
Space-group type = No. 65
Magnetic moment = 5.399 μB per cell

Cell: 4.566 6.645 3.009 Å, 63.08 90.00 125.35°
Site moments in Bohr magnetons follow the coordinates.
Positions (direct):
Cr 0.000 0.000 0.000  2.63
Ru 0.500 0.000 0.500  -0.15
Cr 0.000 0.500 0.500  2.62
In 0.500 0.500 0.000  -0.06

Arrangement Q

# Cr2InRu

A geometry-optimized Cr2InRu structure (PBE, Alexandria via LeMat-Bulk).

Computed properties:
Volume = 14.6 A^3/atom
Space-group type = No. 123
Magnetic moment = 0.002 μB per cell

Cell: 2.774 2.774 7.600 Å, 90.00 90.00 90.01°
Positions (direct):
Cr 0.000 0.000 0.529
Cr 0.000 0.000 0.971
Ru 0.500 0.500 0.750
In 0.500 0.500 0.250

Arrangement R

# Cr2InRu

A geometry-optimized Cr2InRu structure (PBE, Alexandria via LeMat-Bulk).

Computed properties:
Volume = 15.2 A^3/atom
Space-group type = No. 225
Magnetic moment = 4.967 μB per cell

Cell: 4.416 4.416 4.416 Å, 60.00 60.00 60.00°
Site moments in Bohr magnetons follow the coordinates.
Positions (direct):
Cr 0.250 0.250 0.250  2.18
Ru 0.000 0.000 0.000  0.40
In 0.500 0.500 0.500  -0.04
Cr 0.750 0.750 0.750  2.18

In terms of stability, arrangement Q leads; the second structure lies 88 meV per atom higher.

Arrangement P

# CrIn3S

A geometry-optimized CrIn3S structure (PBE, Alexandria via LeMat-Bulk).

Computed properties:
Volume = 27.5 A^3/atom
Space-group type = No. 221
Magnetic moment = 0.419 μB per cell

Cell: 5.162 5.162 5.162 Å, 90.00 90.00 90.00°
Site moments in Bohr magnetons follow the coordinates.
Positions (direct):
In 0.000 0.000 0.500  0.01
In 0.500 0.000 0.000  -0.03
Cr 0.500 0.500 0.500  0.55
In 0.000 0.500 0.000  0.01
S 0.000 0.000 0.000  -0.05

Arrangement Q

# CrIn3S

A geometry-optimized CrIn3S structure (PBE, Alexandria via LeMat-Bulk).

Computed properties:
Volume = 28.7 A^3/atom
Space-group type = No. 221
Magnetic moment = 4.964 μB per cell

Cell: 5.238 5.238 5.238 Å, 90.00 90.00 90.00°
Site moments in Bohr magnetons follow the coordinates.
Positions (direct):
In 0.500 0.000 0.000  0.02
In 0.000 0.000 0.500  0.12
Cr 0.000 0.000 0.000  3.45
S 0.500 0.500 0.500  0.38
In 0.000 0.500 0.000  0.08

In terms of stability, arrangement Q leads; the second structure lies 643 meV per atom higher.